Version i
First-principles (GGA-PBE) data for a relaxed structure of Ge2H2Pt, as listed in the Alexandria database.

Results
Space-group type: P4/mbm

Cell lengths 6.8956, 6.8956, 2.9482 Å; angles 90.00, 90.00, 90.00 degrees
Element x y z (fractional)
Ge: 0.1954 0.3046 0.0000
Ge: 0.3046 0.8046 0.0000
Ge: 0.6954 0.1954 0.0000
Ge: 0.8046 0.6954 0.0000
H: 0.0936 0.4064 0.5000
H: 0.4064 0.9064 0.5000
H: 0.5936 0.0936 0.5000
H: 0.9064 0.5936 0.5000
Pt: 0.0000 0.0000 0.0000
Pt: 0.5000 0.5000 0.0000

Version ii
First-principles (GGA-PBE) data for a relaxed structure of Ge2H2Pt, as listed in the Alexandria database.

Results
Space-group type: I4/mmm

Cell lengths 6.3445, 6.3445, 6.3445 Å; angles 151.31, 151.31, 41.03 degrees
Element x y z (fractional)
Ge: 0.1360 0.1360 0.0000
Ge: 0.8640 0.8640 0.0000
H: 0.2500 0.7500 0.5000
H: 0.7500 0.2500 0.5000
Pt: 0.5000 0.5000 0.0000

Stability ranking, top entry: version i; the second entry is 0.099 eV/atom less favorable.

Version i
First-principles (GGA-PBE) data for a relaxed structure of GeH2Pt, as listed in the Alexandria database.

Results
Space-group type: I-42d

Cell lengths 5.3720, 5.3720, 5.3720 Å; angles 128.02, 128.02, 76.59 degrees
Element x y z (fractional)
Ge: 0.0000 0.0000 0.0000
Ge: 0.7500 0.2500 0.5000
H: 0.2245 0.6250 0.0995
H: 0.3750 0.4745 0.5995
H: 0.5255 0.1250 0.9005
H: 0.8750 0.7755 0.4005
Pt: 0.2500 0.7500 0.5000
Pt: 0.5000 0.5000 0.0000

Version ii
First-principles (GGA-PBE) data for a relaxed structure of GeH2Pt, as listed in the Alexandria database.

Results
Space-group type: Pnna

Cell lengths 4.6614, 3.7316, 10.8013 Å; angles 90.00, 90.00, 90.00 degrees
Element x y z (fractional)
Ge: 0.0345 0.2500 0.2500
Ge: 0.4655 0.7500 0.2500
Ge: 0.5345 0.2500 0.7500
Ge: 0.9655 0.7500 0.7500
H: 0.0671 0.7337 0.0618
H: 0.0671 0.7663 0.4382
H: 0.4329 0.2337 0.4382
H: 0.4329 0.2663 0.0618
H: 0.5671 0.7337 0.9382
H: 0.5671 0.7663 0.5618
H: 0.9329 0.2337 0.5618
H: 0.9329 0.2663 0.9382
Pt: 0.2500 0.0000 0.5723
Pt: 0.2500 0.5000 0.9277
Pt: 0.7500 0.0000 0.4277
Pt: 0.7500 0.5000 0.0723

Stability ranking, top entry: version ii; the second entry is 0.195 eV/atom less favorable.

Version i
First-principles (GGA-PBE) data for a relaxed structure of Pu6Ge2H, as listed in the Alexandria database.

Results
Space-group type: Pnnm

Cell lengths 8.0187, 12.3405, 3.5723 Å; angles 90.00, 90.00, 90.00 degrees
Element x y z (fractional)
Pu: 0.0098 0.1298 0.0000
Pu: 0.1723 0.6097 0.5000
Pu: 0.1965 0.4709 0.0000
Pu: 0.3035 0.9709 0.5000
Pu: 0.3277 0.1097 0.0000
Pu: 0.4902 0.6298 0.5000
Pu: 0.5098 0.3702 0.5000
Pu: 0.6723 0.8903 0.0000
Pu: 0.6965 0.0291 0.5000
Pu: 0.8035 0.5291 0.0000
Pu: 0.8277 0.3903 0.5000
Pu: 0.9902 0.8702 0.0000
Ge: 0.1730 0.2848 0.5000
Ge: 0.3270 0.7848 0.0000
Ge: 0.6730 0.2152 0.0000
Ge: 0.8270 0.7152 0.5000
H: 0.0000 0.0000 0.5000
H: 0.5000 0.5000 0.0000

Version ii
First-principles (GGA-PBE) data for a relaxed structure of Pu6Ge2H, as listed in the Alexandria database.

Results
Space-group type: P2_1/c

Cell lengths 5.8889, 8.8296, 8.9027 Å; angles 90.00, 128.17, 90.00 degrees
Element x y z (fractional)
Pu: 0.1329 0.2370 0.0148
Pu: 0.1329 0.2630 0.5148
Pu: 0.2064 0.5526 0.8319
Pu: 0.2064 0.9474 0.3319
Pu: 0.3106 0.6955 0.4954
Pu: 0.3106 0.8045 0.9954
Pu: 0.6894 0.1955 0.0046
Pu: 0.6894 0.3045 0.5046
Pu: 0.7936 0.0526 0.6681
Pu: 0.7936 0.4474 0.1681
Pu: 0.8671 0.7370 0.4852
Pu: 0.8671 0.7630 0.9852
Ge: 0.3378 0.5354 0.2176
Ge: 0.3378 0.9646 0.7176
Ge: 0.6622 0.0354 0.2824
Ge: 0.6622 0.4646 0.7824
H: 0.0000 0.0000 0.0000
H: 0.0000 0.5000 0.5000

Stability ranking, top entry: version i; the second entry is 0.105 eV/atom less favorable.

Version i
First-principles (GGA-PBE) data for a relaxed structure of Pu2GeH2, as listed in the Alexandria database.

Results
Space-group type: P-1

Cell lengths 3.1358, 3.2338, 7.7719 Å; angles 78.24, 78.72, 89.15 degrees
Element x y z (fractional)
Pu: 0.1413 0.1413 0.2150
Pu: 0.8587 0.8587 0.7850
Ge: 0.5000 0.5000 0.5000
H: 0.3007 0.3007 0.9042
H: 0.6993 0.6993 0.0958

Version ii
First-principles (GGA-PBE) data for a relaxed structure of Pu2GeH2, as listed in the Alexandria database.

Results
Space-group type: Cmmm

Cell lengths 7.3535, 7.3535, 2.9809 Å; angles 90.00, 90.00, 152.71 degrees
Element x y z (fractional)
Pu: 0.1452 0.8548 0.0000
Pu: 0.8548 0.1452 0.0000
Ge: 0.5000 0.5000 0.5000
H: 0.2927 0.7073 0.5000
H: 0.7073 0.2927 0.5000

Stability ranking, top entry: version i; the second entry is 0.075 eV/atom less favorable.

Version i
First-principles (GGA-PBE) data for a relaxed structure of Pu4Ge2H, as listed in the Alexandria database.

Results
Space-group type: P2_1/m

Cell lengths 5.4777, 6.1508, 8.6394 Å; angles 90.00, 99.01, 90.00 degrees
Element x y z (fractional)
Pu: 0.1867 0.2500 0.0666
Pu: 0.2274 0.7500 0.3890
Pu: 0.3112 0.5115 0.7229
Pu: 0.3112 0.9885 0.7229
Pu: 0.6888 0.0115 0.2771
Pu: 0.6888 0.4885 0.2771
Pu: 0.7726 0.2500 0.6110
Pu: 0.8133 0.7500 0.9334
Ge: 0.2230 0.2500 0.4204
Ge: 0.3329 0.7500 0.0536
Ge: 0.6671 0.2500 0.9464
Ge: 0.7770 0.7500 0.5796
H: 0.0920 0.2500 0.8074
H: 0.9080 0.7500 0.1926

Version ii
First-principles (GGA-PBE) data for a relaxed structure of Pu4Ge2H, as listed in the Alexandria database.

Results
Space-group type: I4/mmm

Cell lengths 8.5142, 8.5142, 8.5142 Å; angles 150.23, 150.23, 42.60 degrees
Element x y z (fractional)
Pu: 0.0000 0.5000 0.5000
Pu: 0.1794 0.1794 0.0000
Pu: 0.5000 0.0000 0.5000
Pu: 0.8206 0.8206 0.0000
Ge: 0.3664 0.3664 0.0000
Ge: 0.6336 0.6336 0.0000
H: 0.0000 0.0000 0.0000

Stability ranking, top entry: version i; the second entry is 0.024 eV/atom less favorable.

Version i
First-principles (GGA-PBE) data for a relaxed structure of Pu3Ge2H, as listed in the Alexandria database.

Results
Space-group type: Immm

Cell lengths 8.3213, 8.3213, 8.3213 Å; angles 152.40, 149.00, 41.98 degrees
Element x y z (fractional)
Pu: 0.0000 0.0000 0.0000
Pu: 0.3335 0.8335 0.5000
Pu: 0.6665 0.1665 0.5000
Ge: 0.1400 0.6400 0.5000
Ge: 0.8600 0.3600 0.5000
H: 0.5000 0.0000 0.5000

Version ii
First-principles (GGA-PBE) data for a relaxed structure of Pu3Ge2H, as listed in the Alexandria database.

Results
Space-group type: Pnma

Cell lengths 11.5767, 4.2967, 10.0036 Å; angles 90.00, 90.00, 90.00 degrees
Element x y z (fractional)
Pu: 0.0471 0.2500 0.1091
Pu: 0.1313 0.7500 0.5407
Pu: 0.2461 0.7500 0.2965
Pu: 0.2539 0.2500 0.7965
Pu: 0.3687 0.2500 0.0407
Pu: 0.4529 0.7500 0.6091
Pu: 0.5471 0.2500 0.3909
Pu: 0.6313 0.7500 0.9593
Pu: 0.7461 0.7500 0.2035
Pu: 0.7539 0.2500 0.7035
Pu: 0.8687 0.2500 0.4593
Pu: 0.9529 0.7500 0.8909
Ge: 0.0153 0.2500 0.7078
Ge: 0.1997 0.7500 0.9963
Ge: 0.3003 0.2500 0.4963
Ge: 0.4847 0.7500 0.2078
Ge: 0.5153 0.2500 0.7922
Ge: 0.6997 0.7500 0.5037
Ge: 0.8003 0.2500 0.0037
Ge: 0.9847 0.7500 0.2922
H: 0.2301 0.2500 0.2072
H: 0.2699 0.7500 0.7072
H: 0.7301 0.2500 0.2928
H: 0.7699 0.7500 0.7928

Stability ranking, top entry: version ii; the second entry is 0.133 eV/atom less favorable.

Version i
First-principles (GGA-PBE) data for a relaxed structure of RbGe3H, as listed in the Alexandria database.

Results
Space-group type: Pm-3m

Cell lengths 4.6731, 4.6731, 4.6731 Å; angles 90.00, 90.00, 90.00 degrees
Element x y z (fractional)
Rb: 0.0000 0.0000 0.0000
Ge: 0.0000 0.5000 0.5000
Ge: 0.5000 0.0000 0.5000
Ge: 0.5000 0.5000 0.0000
H: 0.5000 0.5000 0.5000

Version ii
First-principles (GGA-PBE) data for a relaxed structure of RbGe3H, as listed in the Alexandria database.

Results
Space-group type: Pm-3m

Cell lengths 6.0218, 6.0218, 6.0218 Å; angles 90.00, 90.00, 90.00 degrees
Element x y z (fractional)
Rb: 0.0000 0.0000 0.0000
Ge: 0.0000 0.0000 0.5000
Ge: 0.0000 0.5000 0.0000
Ge: 0.5000 0.0000 0.0000
H: 0.5000 0.5000 0.5000

Stability ranking, top entry: version i; the second entry is 1.529 eV/atom less favorable.

Version i
First-principles (GGA-PBE) data for a relaxed structure of Rb3GeH, as listed in the Alexandria database.

Results
Space-group type: Cm

Cell lengths 7.9477, 7.9477, 8.7799 Å; angles 117.03, 117.03, 60.00 degrees
Element x y z (fractional)
Rb: 0.0000 0.0000 0.0000
Rb: 0.9995 0.4946 0.9997
Rb: 0.3409 0.8363 0.5188
Rb: 0.4946 0.9995 0.9997
Rb: 0.8353 0.8353 0.5185
Rb: 0.8363 0.3409 0.5188
Ge: 0.3654 0.3654 0.6035
Ge: 0.4706 0.4706 0.9176
H: 0.0850 0.0850 0.7613
H: 0.7504 0.7504 0.7572

Version ii
First-principles (GGA-PBE) data for a relaxed structure of Rb3GeH, as listed in the Alexandria database.

Results
Space-group type: Pm-3m

Cell lengths 5.7247, 5.7247, 5.7247 Å; angles 90.00, 90.00, 90.00 degrees
Element x y z (fractional)
Rb: 0.0000 0.0000 0.5000
Rb: 0.0000 0.5000 0.0000
Rb: 0.5000 0.0000 0.0000
Ge: 0.5000 0.5000 0.5000
H: 0.0000 0.0000 0.0000

Stability ranking, top entry: version i; the second entry is 0.065 eV/atom less favorable.

Version i
First-principles (GGA-PBE) data for a relaxed structure of RbGeHSe, as listed in the Alexandria database.

Results
Space-group type: Pm

Cell lengths 5.2849, 3.8480, 5.5697 Å; angles 90.00, 93.22, 90.00 degrees
Element x y z (fractional)
Rb: 0.0000 0.0000 0.0000
Ge: 0.5017 0.0000 0.4798
H: 0.4822 0.0000 0.7722
Se: 0.8266 0.5000 0.4931

Version ii
First-principles (GGA-PBE) data for a relaxed structure of RbGeHSe, as listed in the Alexandria database.

Results
Space-group type: Cm

Cell lengths 6.2179, 6.2179, 6.4553 Å; angles 119.03, 119.03, 35.71 degrees
Element x y z (fractional)
Rb: 0.0000 0.0000 0.0000
Ge: 0.5907 0.5907 0.6125
H: 0.4890 0.4890 0.3218
Se: 0.2280 0.2280 0.5941

Stability ranking, top entry: version i; the second entry is 0.011 eV/atom less favorable.

Version i
First-principles (GGA-PBE) data for a relaxed structure of RbGeHSe, as listed in the Alexandria database.

Results
Space-group type: Cm

Cell lengths 6.1201, 6.1201, 3.7956 Å; angles 91.22, 91.22, 46.68 degrees
Element x y z (fractional)
Rb: 0.0000 0.0000 0.0000
Ge: 0.3034 0.3034 0.5225
H: 0.6462 0.6462 0.8136
Se: 0.6999 0.6999 0.4543

Version ii
First-principles (GGA-PBE) data for a relaxed structure of RbGeHSe, as listed in the Alexandria database.

Results
Space-group type: P1

Cell lengths 3.8277, 5.2263, 5.7287 Å; angles 86.06, 70.64, 90.00 degrees
Element x y z (fractional)
Rb: 0.0000 0.0000 0.0000
Ge: 0.7096 0.4761 0.5839
H: 0.7002 0.7885 0.6020
Se: 0.3658 0.4849 0.2693

Stability ranking, top entry: version ii; the second entry is 0.397 eV/atom less favorable.

Version i
First-principles (GGA-PBE) data for a relaxed structure of ReGe2H, as listed in the Alexandria database.

Results
Space-group type: I-42d

Cell lengths 6.3706, 6.3706, 6.3706 Å; angles 136.27, 136.27, 63.56 degrees
Element x y z (fractional)
Re: 0.0000 0.0000 0.0000
Re: 0.7500 0.2500 0.5000
Ge: 0.2274 0.6250 0.1024
Ge: 0.3750 0.4774 0.6024
Ge: 0.5226 0.1250 0.8976
Ge: 0.8750 0.7726 0.3976
H: 0.2500 0.7500 0.5000
H: 0.5000 0.5000 0.0000

Version ii
First-principles (GGA-PBE) data for a relaxed structure of ReGe2H, as listed in the Alexandria database.

Results
Space-group type: Fm-3m

Cell lengths 4.2795, 4.2795, 4.2795 Å; angles 60.00, 60.00, 60.00 degrees
Element x y z (fractional)
Re: 0.0000 0.0000 0.0000
Ge: 0.2500 0.2500 0.2500
Ge: 0.7500 0.7500 0.7500
H: 0.5000 0.5000 0.5000

Stability ranking, top entry: version ii; the second entry is 0.084 eV/atom less favorable.

Version i
First-principles (GGA-PBE) data for a relaxed structure of ReGeH3, as listed in the Alexandria database.

Results
Space-group type: Pm-3m

Cell lengths 3.5784, 3.5784, 3.5784 Å; angles 90.00, 90.00, 90.00 degrees
Element x y z (fractional)
Re: 0.0000 0.0000 0.0000
Ge: 0.5000 0.5000 0.5000
H: 0.0000 0.0000 0.5000
H: 0.0000 0.5000 0.0000
H: 0.5000 0.0000 0.0000

Version ii
First-principles (GGA-PBE) data for a relaxed structure of ReGeH3, as listed in the Alexandria database.

Results
Space-group type: Pm-3m

Cell lengths 3.4923, 3.4923, 3.4923 Å; angles 90.00, 90.00, 90.00 degrees
Element x y z (fractional)
Re: 0.0000 0.0000 0.0000
Ge: 0.5000 0.5000 0.5000
H: 0.0000 0.5000 0.5000
H: 0.5000 0.0000 0.5000
H: 0.5000 0.5000 0.0000

Stability ranking, top entry: version i; the second entry is 0.815 eV/atom less favorable.